## ZrNiAs2O8 (PBE+U)

Data for a relaxed ZrNiAs2O8 crystal.

The structure belongs to space group P-3m1 (No. 164); the cell edges are 5.5546, 5.5546 and 5.9471 Å and the angles 90.00°, 90.00° and 120.00°. Symmetry generates all atoms from Zr at (0.0000, 0.0000, 0.0000), Ni at (0.0000, 0.0000, 0.5000), As at (0.3333, 0.6667, 0.6617), O at (0.1631, 0.3262, 0.7656) and O at (0.3333, 0.6667, 0.3852).

For the electronic total energy, the calculation gives -6.562 eV per atom. For the total magnetization, the calculation gives 2.0 μB/f.u.